A relaxed YHf3Ag crystal. Source: the Alexandria database, functional PBE.

Cell and atoms, written as POSCAR:
```
YHf3Ag
1.0
-4.732 1.883 -0.833
0.775 -0.305 -5.093
-1.908 -4.795 -0.003
Ag Y Hf
1 1 3
Cartesian
0.000 0.000 0.000 Ag
-2.932 -1.608 -2.964 Y
0.387 -0.153 -2.546 Hf
-0.954 -2.397 -0.001 Hf
-2.366 0.942 -0.416 Hf
```

Output
Density of states at the Fermi level in states/eV/cell: 5.95
E_tot in hartree per atom: -0.2574
Energy of formation from the pure elements in kcal/mol of atoms: 19.2